# 1
VASP calculation (PBE) on Li8Ag5Rh after structural relaxation.

Geometry as POSCAR:
```
Li8Ag5Rh
1.0
6.672 0.053 -0.092
-2.207 6.297 0.092
-2.257 -3.158 5.428
Li Ag Rh
8 5 1
Cartesian
1.531 3.149 1.189
1.187 -0.315 4.856
4.793 -1.427 3.503
0.592 0.614 2.365
-2.020 2.934 2.754
-0.213 2.951 4.793
3.717 0.618 2.057
-0.757 4.246 0.196
5.800 1.694 0.371
2.207 -1.552 2.668
1.840 0.533 0.002
2.087 2.250 3.765
3.618 5.118 1.198
-1.129 0.794 4.094
```

energy of formation from the pure elements = -61 meV/atom
total magnetization = 0.0000 μB/atom
space-group type = I-4
total energy = -37.78 eV for the cell shown

# 2
VASP calculation (PBE) on Na2In5Pd2 after structural relaxation.

Geometry as POSCAR:
```
Na2In5Pd2
1.0
6.530 0.000 2.370
0.000 7.495 0.000
0.299 0.000 9.357
Pd In Na
4 10 4
Cartesian
4.144 1.122 1.504
2.386 6.373 0.866
0.879 2.625 0.319
5.650 4.870 2.051
6.435 2.592 9.520
3.265 3.748 1.185
3.658 6.340 3.392
2.015 4.903 7.916
5.280 6.340 9.101
3.170 1.156 8.335
4.813 2.592 3.811
1.548 1.156 2.626
0.393 4.903 2.207
0.000 0.000 0.000
4.901 3.748 6.858
1.928 3.748 4.869
1.636 0.000 5.673
5.192 0.000 6.054
```

energy of formation from the pure elements = -233 meV/atom
total magnetization = 0.0000 μB/atom
space-group type = Cmce
total energy = -57.63 eV for the cell shown

# 3
VASP calculation (PBE) on YPd8Au5 after structural relaxation.

Geometry as POSCAR:
```
YPd8Au5
1.0
-6.065 0.351 -3.342
4.346 -4.641 -2.765
-1.913 -1.605 6.468
Pd Y Au
8 1 5
Cartesian
2.221 -3.551 -2.039
-4.258 -3.183 2.739
-1.294 -3.014 -1.625
-6.577 -1.054 1.070
2.070 -4.131 0.738
-3.782 -1.462 -1.129
-1.674 -1.687 0.763
-1.234 -5.498 0.929
-0.778 -3.436 2.633
-3.989 -0.627 1.563
-3.358 -3.840 0.209
-3.190 -1.734 4.833
-1.556 -4.336 -4.035
0.840 -1.880 -0.284
```

energy of formation from the pure elements = -148 meV/atom
total magnetization = 0.0000 μB/atom
space-group type = I-4
total energy = -66.47 eV for the cell shown

# 4
VASP calculation (PBE) on NdYGaSi after structural relaxation.

Geometry as POSCAR:
```
NdYGaSi
1.0
-1.201 4.206 -0.285
-3.486 -0.875 1.782
2.864 -1.124 5.050
Si Ga Y Nd
1 1 1 1
Cartesian
1.923 0.832 4.169
-2.022 1.805 1.447
-0.708 2.374 4.295
0.646 0.280 1.401
```

ΔE_f (raw) = -2.94 eV per formula unit
total magnetization = 0.0162 μB/atom
space-group type = Amm2
total energy = -22.62 eV for the cell shown

> Which value of total energy does entry 2 give?

-57.63 eV for the cell shown

> What is the total energy in the first record?

-37.78 eV for the cell shown

> The lowest total energy belongs to which entry?

YPd8Au5